Entry 1:
The following is a DFT calculation (PBE) of an optimized crystal structure of TlInTeO4.

## Properties
E_form (uncorrected) ... -825 meV/atom
Total energy ... -67.71 eV per cell
Spin magnetization ... 0.0 μB/f.u.

Cell and atoms, written as CIF:
```
data_TlInTeO4
_chemical_formula_sum 'Tl2 In2 Te2 O8'
_cell_length_a 6.3958
_cell_length_b 6.2558
_cell_length_c 8.4607
_cell_angle_alpha 90.00
_cell_angle_beta 105.00
_cell_angle_gamma 90.00
_space_group_name_H-M_alt 'P 1'
_space_group_IT_number 1
loop_
_space_group_symop_operation_xyz
'x,y,z'
loop_
_atom_site_label
_atom_site_fract_x
_atom_site_fract_y
_atom_site_fract_z
Tl1 0.2226 0.2500 0.0290
Tl2 0.7774 0.7500 0.9710
In1 0.1790 0.7500 0.6085
In2 0.8210 0.2500 0.3915
Te1 0.4658 0.7500 0.2748
Te2 0.5342 0.2500 0.7252
O1 0.1849 0.7500 0.1451
O2 0.3877 0.0143 0.7814
O3 0.3877 0.4857 0.7814
O4 0.4733 0.7500 0.4947
O5 0.5267 0.2500 0.5053
O6 0.6123 0.5143 0.2186
O7 0.6123 0.9857 0.2186
O8 0.8151 0.2500 0.8549
```



Entry 2:
The following is a DFT calculation (PBE) of an optimized crystal structure of ZrZnS2.

## Properties
E_form (uncorrected) ... -702 meV/atom
Total energy ... -41.77 eV per cell
Spin magnetization ... 0.9 μB/f.u.

Cell and atoms, written as CIF:
```
data_ZrZnS2
_chemical_formula_sum 'Zr2 Zn2 S4'
_cell_length_a 6.6475
_cell_length_b 6.6475
_cell_length_c 6.6475
_cell_angle_alpha 127.70
_cell_angle_beta 127.70
_cell_angle_gamma 77.11
_space_group_name_H-M_alt 'P 1'
_space_group_IT_number 1
loop_
_space_group_symop_operation_xyz
'x,y,z'
loop_
_atom_site_label
_atom_site_fract_x
_atom_site_fract_y
_atom_site_fract_z
Zr1 0.0000 0.0000 0.0000
Zr2 0.7500 0.2500 0.5000
Zn1 0.2500 0.7500 0.5000
Zn2 0.5000 0.5000 0.0000
S1 0.1497 0.6250 0.0247
S2 0.3750 0.3997 0.5247
S3 0.6003 0.1250 0.9753
S4 0.8750 0.8503 0.4753
```



Entry 3:
The following is a DFT calculation (PBE) of an optimized crystal structure of Zn2SeSBr.

## Properties
E_form (uncorrected) ... 887 meV/atom
Total energy ... -7.40 eV per cell
Spin magnetization ... 0.0 μB/f.u.

Cell and atoms, written as CIF:
```
data_Zn2SeSBr
_chemical_formula_sum 'Zn2 Se1 S1 Br1'
_cell_length_a 5.1832
_cell_length_b 5.1832
_cell_length_c 5.0063
_cell_angle_alpha 90.00
_cell_angle_beta 90.00
_cell_angle_gamma 90.00
_space_group_name_H-M_alt 'P 1'
_space_group_IT_number 1
loop_
_space_group_symop_operation_xyz
'x,y,z'
loop_
_atom_site_label
_atom_site_fract_x
_atom_site_fract_y
_atom_site_fract_z
Zn1 0.0000 0.5000 0.0000
Zn2 0.5000 0.0000 0.0000
Se1 0.0000 0.0000 0.5000
S1 0.5000 0.5000 0.5000
Br1 0.0000 0.0000 0.0000
```